Density functional theory data (GGA-PBE) for a relaxed structure of Mn2TeOs.

Values from the calculation:
The value obtained for the final energy is -30.92 eV/cell.

Cell lengths 3.0041, 3.7808, 5.5323 Å; angles 90.00, 90.16, 90.00 degrees
Last column: nearest neighbours and their distance in Å.
Positions (direct):
Mn1 0.0008 0.0000 0.2159  1 Mn 2.39
Mn2 0.9992 0.0000 0.7841  1 Mn 2.39
Te1 0.5000 0.5000 0.5000  2 Os 2.77, 8 Mn 2.88, 2 Te 3.00
Os1 0.5000 0.5000 0.0000  8 Mn 2.69, 2 Te 2.77, 2 Os 3.00